VASP calculation (GGA+U) on a relaxed structure of ZnNiF6.

It has space group P-31c (No. 163), with a = 4.8316 Å, b = 4.8316 Å, c = 9.0153 Å, α = 90.00°, β = 90.00° and γ = 120.00°. The asymmetric unit holds Zn at (0.3333, 0.6667, 0.2500), Ni at (0.0000, 0.0000, 0.0000) and F at (0.0086, 0.3098, 0.1161).

The density of states at the Fermi level is 0.000 states/eV per cell. The calculation puts the total energy at -3.56 eV per atom.